Record 1
BaTa2Ir | GGA-PBE | optimized geometry

Cell: 6.0676 6.0676 6.0676 Å, 150.41 127.55 61.37°
Last column: nearest neighbours and their distance in Å.
Element x y z (fractional)
Ba 0.0000 0.0000 0.0000  2 Ba 3.10, 8 Ta 3.12-3.44, 2 Ir 3.20
Ta 0.4659 0.4659 0.0000  2 Ir 2.58
Ta 0.7058 0.2058 0.5000  4 Ta 2.94-3.10, 4 Ir 3.16
Ir 0.2679 0.7679 0.5000  2 Ta 2.58

Properties
Size of the total moment = 0.0 μB per formula unit
Total DFT energy (no corrections) = -31.54 eV for the cell shown
Energy relative to the elements = 737 meV/atom
D(E_F) = 3.9 states/eV/cell
Relative energy among the computed polymorphs = 519 meV per atom

Record 2
Hf2TaHg2 | GGA-PBE | optimized geometry

Cell: 7.8446 7.8446 3.4262 Å, 90.00 90.00 90.00°
Last column: nearest neighbours and their distance in Å.
Element x y z (fractional)
Hf 0.1780 0.3220 0.0000  6 Hg 2.76-2.97
Hf 0.3220 0.8220 0.0000  6 Hg 2.76-2.97
Hf 0.6780 0.1780 0.0000  6 Hg 2.76-2.97
Hf 0.8220 0.6780 0.0000  6 Hg 2.76-2.97
Ta 0.0000 0.0000 0.5000  4 Hg 3.09, 8 Hf 3.36, 2 Ta 3.43
Ta 0.5000 0.5000 0.5000  4 Hg 3.09, 8 Hf 3.36, 2 Ta 3.43
Hg 0.1268 0.6268 0.5000  6 Hf 2.76-2.97, 1 Hg 2.81, 2 Ta 3.09
Hg 0.3732 0.1268 0.5000  6 Hf 2.76-2.97, 1 Hg 2.81, 2 Ta 3.09
Hg 0.6268 0.8732 0.5000  6 Hf 2.76-2.97, 1 Hg 2.81, 2 Ta 3.09
Hg 0.8732 0.3732 0.5000  6 Hf 2.76-2.97, 1 Hg 2.81, 2 Ta 3.09

Properties
Size of the total moment = 0.0 μB per formula unit
Total DFT energy (no corrections) = -61.90 eV for the cell shown
Energy relative to the elements = 283 meV/atom
D(E_F) = 11.2 states/eV/cell
Relative energy among the computed polymorphs = 251 meV per atom

Record 3
PmNp2N4 | GGA-PBE | optimized geometry

Cell: 5.9279 5.9279 10.5754 Å, 90.00 90.00 146.37°
Last column: nearest neighbours and their distance in Å.
Element x y z (fractional)
Pm 0.1077 0.8923 0.7500  6 N 2.42-2.69
Pm 0.8923 0.1077 0.2500  6 N 2.42-2.69
Np 0.3686 0.6314 0.5693  6 N 2.15-2.39
Np 0.3686 0.6314 0.9307  6 N 2.15-2.39
Np 0.6314 0.3686 0.0693  6 N 2.15-2.39
Np 0.6314 0.3686 0.4307  6 N 2.15-2.39
N 0.0000 0.0000 0.0000  4 Np 2.39
N 0.0000 0.0000 0.5000  4 Np 2.39
N 0.2702 0.7298 0.1046  3 Np 2.15-2.36
N 0.2702 0.7298 0.3955  3 Np 2.15-2.36
N 0.4577 0.5423 0.7500  2 Np 2.16, 2 Pm 2.42
N 0.5423 0.4577 0.2500  2 Np 2.16, 2 Pm 2.42
N 0.7298 0.2702 0.6046  3 Np 2.15-2.36
N 0.7298 0.2702 0.8954  3 Np 2.15-2.36

Properties
Size of the total moment = 5.0 μB per formula unit
Total DFT energy (no corrections) = -144.76 eV for the cell shown
Formation energy without anion corrections = -1.207 eV/atom
D(E_F) = 20.4 states/eV/cell